A plane-wave DFT calculation with GGA-PBE was carried out for CsTmPbI6 after structural relaxation.

Properties
total magnetization: 0.0 μB/f.u.
ρ: 4.32 g cm⁻³
total DFT energy (no corrections): -29.02 eV per cell

Cell lengths 8.165, 8.165, 8.462 Å; angles 90.00, 90.00, 120.00 degrees
Element x y z (fractional)
Cs1 0.000 0.000 0.000
Tm1 0.333 0.667 0.500
Pb1 0.667 0.333 0.500
I1 0.022 0.384 0.289
I2 0.022 0.638 0.711
I3 0.362 0.384 0.711
I4 0.362 0.978 0.289
I5 0.616 0.638 0.289
I6 0.616 0.978 0.711

A plane-wave DFT calculation with GGA-PBE was carried out for CsUPb2I8 after structural relaxation.

Properties
total magnetization: 3.0 μB/f.u.
ρ: 4.98 g cm⁻³
total DFT energy (no corrections): -41.56 eV per cell

Cell lengths 7.503, 7.942, 10.075 Å; angles 89.80, 89.76, 89.04 degrees
Element x y z (fractional)
Cs1 0.000 0.000 0.000
U1 0.000 0.000 0.500
Pb1 0.499 0.500 0.250
Pb2 0.501 0.500 0.750
I1 0.240 0.327 0.500
I2 0.257 0.842 0.711
I3 0.259 0.844 0.288
I4 0.265 0.392 0.001
I5 0.735 0.608 0.999
I6 0.741 0.156 0.712
I7 0.743 0.158 0.289
I8 0.760 0.673 0.500

A plane-wave DFT calculation with GGA-PBE was carried out for CsUPbI6 after structural relaxation.

Properties
total magnetization: 3.0 μB/f.u.
ρ: 4.05 g cm⁻³
total DFT energy (no corrections): -65.74 eV per cell

Cell lengths 11.609, 11.609, 11.609 Å; angles 121.61, 119.25, 89.27 degrees
Element x y z (fractional)
Cs1 0.321 0.071 0.250
Cs2 0.679 0.929 0.750
U1 0.000 0.500 0.500
U2 0.500 0.500 0.000
Pb1 0.000 0.000 0.500
Pb2 0.000 0.500 0.000
I1 0.085 0.421 0.258
I2 0.085 0.827 0.664
I3 0.091 0.841 0.250
I4 0.316 0.566 0.750
I5 0.337 0.173 0.758
I6 0.337 0.579 0.164
I7 0.663 0.421 0.836
I8 0.663 0.827 0.242
I9 0.684 0.434 0.250
I10 0.909 0.159 0.750
I11 0.915 0.173 0.336
I12 0.915 0.579 0.742

A plane-wave DFT calculation with GGA-PBE was carried out for CsVPb2I8 after structural relaxation.

Properties
total magnetization: 2.0 μB/f.u.
ρ: 4.59 g cm⁻³
total DFT energy (no corrections): -38.26 eV per cell

Cell lengths 7.879, 8.663, 9.305 Å; angles 68.20, 85.21, 82.00 degrees
Element x y z (fractional)
Cs1 0.000 0.000 0.000
V1 0.000 0.500 0.500
Pb1 0.432 0.456 0.258
Pb2 0.568 0.544 0.742
I1 0.039 0.514 0.195
I2 0.234 0.216 0.583
I3 0.265 0.703 0.444
I4 0.499 0.771 0.953
I5 0.501 0.229 0.047
I6 0.735 0.297 0.556
I7 0.766 0.784 0.417
I8 0.961 0.486 0.805